Entry 1:
BaMnO2F | meta-GGA SCAN | single point on PBEsol structure

Lattice parameters (Å, degrees): 4.6952 4.6952 4.7727 90.00 90.00 90.00
With the nearest neighbours (Å) after each atom.
Fractional coordinates of all 5 atoms:
Ba 0.0000 0.0000 0.0000  4 O 2.35, 2 F 2.39
Mn 0.5000 0.5000 0.5000  4 F 3.32, 8 O 3.35
O 0.5000 0.0000 0.0000  2 Ba 2.35
F 0.0000 0.0000 0.5000  2 Ba 2.39
O 0.0000 0.5000 0.0000  2 Ba 2.35

Crystal system: tetragonal
Formation energy from raw total energies: -906.5 meV per atom
Calculated density: 3.839 Mg/m³
DFT total energy: -78.34 eV/cell
Space-group type: P4/mmm (123)

Entry 2:
BaLi2In2 | meta-GGA SCAN | single point on PBEsol structure

Lattice parameters (Å, degrees): 5.1514 5.1514 6.2428 114.37 114.37 90.00
With the nearest neighbours (Å) after each atom.
Fractional coordinates of all 5 atoms:
In 0.3625 0.3625 0.7250  1 In 2.79, 4 Li 2.82
In 0.6375 0.6375 0.2750  1 In 2.79, 4 Li 2.82
Li 0.7500 0.2500 0.5000  4 In 2.82
Li 0.2500 0.7500 0.5000  4 In 2.82
Ba 0.0000 0.0000 0.0000  8 Li 3.61, 10 In 3.68-3.90

Crystal system: tetragonal
Energy of formation: -0.427 eV per atom
Calculated density: 4.701 Mg/m³
DFT total energy: -113.24 eV/cell
Space-group type: I4/mmm (139)

Entry 3:
K3TiSe | meta-GGA SCAN | single point on PBEsol structure

Lattice parameters (Å, degrees): 6.1063 6.1063 6.1063 90.00 90.00 90.00
With the nearest neighbours (Å) after each atom.
Fractional coordinates of all 5 atoms:
Ti 0.0000 0.0000 0.0000  6 K 3.05
K 0.5000 0.0000 0.0000  2 Ti 3.05
Se 0.5000 0.5000 0.5000  12 K 4.32
K 0.0000 0.0000 0.5000  2 Ti 3.05
K 0.0000 0.5000 0.0000  2 Ti 3.05

Crystal system: cubic
Formation energy from raw total energies: 596.3 meV per atom
Calculated density: 1.780 Mg/m³
DFT total energy: -58.11 eV/cell
Space-group type: Pm-3m (221)

Entry 4:
Rb2YCuCl6 | meta-GGA SCAN | single point on PBEsol structure

Lattice parameters (Å, degrees): 7.1806 7.1806 7.1806 60.00 60.00 60.00
With the nearest neighbours (Å) after each atom.
Fractional coordinates of all 10 atoms:
Cl 0.7561 0.2439 0.7561  1 Cu 2.48, 1 Y 2.60
Cl 0.2439 0.7561 0.7561  1 Cu 2.48, 1 Y 2.60
Cl 0.7561 0.7561 0.2439  1 Cu 2.48, 1 Y 2.60
Cl 0.2439 0.7561 0.2439  1 Cu 2.48, 1 Y 2.60
Rb 0.7500 0.7500 0.7500  12 Cl 3.59
Cl 0.2439 0.2439 0.7561  1 Cu 2.48, 1 Y 2.60
Y 0.5000 0.5000 0.5000  6 Cl 2.60
Rb 0.2500 0.2500 0.2500  12 Cl 3.59
Cl 0.7561 0.2439 0.2439  1 Cu 2.48, 1 Y 2.60
Cu 0.0000 0.0000 0.0000  6 Cl 2.48

Crystal system: cubic
Formation energy from raw total energies: -2013.2 meV per atom
Calculated density: 3.400 Mg/m³
DFT total energy: -152.52 eV/cell
Space-group type: Fm-3m (225)

Entry 5:
AlAg5 | meta-GGA SCAN | single point on PBEsol structure

Lattice parameters (Å, degrees): 4.0225 4.0503 6.3256 90.00 108.54 90.00
With the nearest neighbours (Å) after each atom.
Fractional coordinates of all 6 atoms:
Al 0.5000 0.5000 0.0000  12 Ag 2.80-2.85
Ag 0.8374 0.5000 0.6749  2 Al 2.80, 10 Ag 2.81-2.91
Ag 0.3347 0.0000 0.6694  10 Ag 2.82-2.89, 2 Al 2.83
Ag 0.1626 0.5000 0.3251  2 Al 2.80, 10 Ag 2.81-2.91
Ag 0.6653 0.0000 0.3306  10 Ag 2.82-2.89, 2 Al 2.83
Ag 0.0000 0.0000 0.0000  8 Ag 2.81-2.82, 4 Al 2.85

Crystal system: orthorhombic
Relative energy among the computed polymorphs: 14 meV per atom
Energy of formation: -0.054 eV per atom
Calculated density: 9.624 Mg/m³
DFT total energy: -164.91 eV/cell
Space-group type: Cmmm (65)

Entry 6:
Hg2PRh | meta-GGA SCAN | single point on PBEsol structure

Lattice parameters (Å, degrees): 2.9094 2.9094 8.7242 90.00 90.00 90.00
With the nearest neighbours (Å) after each atom.
Fractional coordinates of all 4 atoms:
Rh 0.5000 0.5000 0.7081  4 P 2.40
P 0.0000 0.0000 0.5675  4 Rh 2.40
Hg 0.5000 0.5000 0.2650  4 Hg 2.91
Hg 0.0000 0.0000 0.9594  4 Hg 2.91, 4 Rh 3.01

Crystal system: tetragonal
Energy of formation: -0.091 eV per atom
Calculated density: 12.032 Mg/m³
DFT total energy: -180.87 eV/cell
Space-group type: P4mm (99)

Entry 7:
LaScBe2Ag | meta-GGA SCAN | single point on PBEsol structure

Lattice parameters (Å, degrees): 4.7978 4.7978 5.1827 90.00 90.00 90.00
With the nearest neighbours (Å) after each atom.
Fractional coordinates of all 5 atoms:
Ag 0.5000 0.5000 0.5000  4 La 3.39, 8 Be 3.53
La 0.0000 0.0000 0.5000  2 Sc 2.59
Be 0.5000 0.0000 0.0000  2 Sc 2.40
Sc 0.0000 0.0000 0.0000  4 Be 2.40, 2 La 2.59
Be 0.0000 0.5000 0.0000  2 Sc 2.40

Crystal system: tetragonal
Energy of formation: 1.313 eV per atom
Calculated density: 4.311 Mg/m³
DFT total energy: -90.85 eV/cell
Space-group type: P4/mmm (123)

Entry 8:
NiAgPb2 | meta-GGA SCAN | single point on PBEsol structure

Lattice parameters (Å, degrees): 4.9201 4.9201 4.9201 60.00 60.00 60.00
With the nearest neighbours (Å) after each atom.
Fractional coordinates of all 4 atoms:
Ag 0.5000 0.5000 0.5000  4 Pb 3.01, 4 Ni 3.01
Pb 0.2500 0.2500 0.2500  4 Pb 3.01, 4 Ag 3.01
Ni 0.7500 0.7500 0.7500  4 Pb 3.01, 4 Ag 3.01
Pb 0.0000 0.0000 0.0000  4 Pb 3.01, 4 Ni 3.01

Crystal system: cubic
Relative energy among the computed polymorphs: 341 meV per atom
Energy of formation: 0.578 eV per atom
Calculated density: 11.455 Mg/m³
DFT total energy: -196.79 eV/cell
Space-group type: F-43m (216)

Entry 9:
YZnCr2 | meta-GGA SCAN | single point on PBEsol structure

Lattice parameters (Å, degrees): 4.5769 4.5769 4.5769 60.00 60.00 60.00
With the nearest neighbours (Å) after each atom.
Fractional coordinates of all 4 atoms:
Cr 0.7500 0.7500 0.7500  4 Y 2.80, 4 Cr 2.80
Y 0.5000 0.5000 0.5000  4 Cr 2.80, 4 Zn 2.80
Cr 0.0000 0.0000 0.0000  4 Zn 2.80, 4 Cr 2.80
Zn 0.2500 0.2500 0.2500  4 Y 2.80, 4 Cr 2.80

Crystal system: cubic
Energy of formation: -0.083 eV per atom
Calculated density: 6.327 Mg/m³
DFT total energy: -78.46 eV/cell
Space-group type: F-43m (216)

Entry 10:
SiSeBr | meta-GGA SCAN | single point on PBEsol structure

Lattice parameters (Å, degrees): 4.5902 4.5902 4.5902 60.00 60.00 60.00
With the nearest neighbours (Å) after each atom.
Fractional coordinates of all 3 atoms:
Br 0.0000 0.0000 0.0000  4 Si 2.81
Si 0.2500 0.2500 0.2500  4 Se 2.81, 4 Br 2.81
Se 0.5000 0.5000 0.5000  4 Si 2.81

Crystal system: cubic
Formation energy from raw total energies: 413.7 meV per atom
Calculated density: 4.539 Mg/m³
DFT total energy: -48.31 eV/cell
Space-group type: F-43m (216)

Entry 11:
Ca3Br | meta-GGA SCAN | single point on PBEsol structure

Lattice parameters (Å, degrees): 3.8630 3.8630 10.7909 79.69 79.69 60.00
With the nearest neighbours (Å) after each atom.
Fractional coordinates of all 4 atoms:
Br 0.0000 0.0000 0.0000  6 Ca 3.14
Ca 0.2637 0.2637 0.2089  3 Br 3.14
Ca 0.7363 0.7363 0.7911  3 Br 3.14
Ca 0.5000 0.5000 0.5000  12 Ca 3.80-3.86

Crystal system: trigonal
Relative energy among the computed polymorphs: 0 meV per atom
Formation energy from raw total energies: -766.3 meV per atom
Calculated density: 2.436 Mg/m³
DFT total energy: -51.51 eV/cell
Space-group type: R-3m (166)

Entry 12:
Zr2TaAl | meta-GGA SCAN | single point on PBEsol structure

Lattice parameters (Å, degrees): 3.4817 3.4817 6.3006 90.00 90.00 90.00
With the nearest neighbours (Å) after each atom.
Fractional coordinates of all 4 atoms:
Zr 0.0000 0.0000 0.9841  4 Ta 2.91, 1 Al 2.94, 4 Zr 3.02
Ta 0.5000 0.5000 0.7370  4 Al 2.83, 5 Zr 2.91-2.99
Al 0.0000 0.0000 0.5167  4 Ta 2.83, 5 Zr 2.94
Zr 0.5000 0.5000 0.2622  4 Al 2.94, 1 Ta 2.99, 4 Zr 3.02

Crystal system: tetragonal
Energy of formation: -0.083 eV per atom
Calculated density: 8.487 Mg/m³
DFT total energy: -136.06 eV/cell
Space-group type: P4mm (99)

Entry 13:
Al2O3 | meta-GGA SCAN | single point on PBEsol structure

Lattice parameters (Å, degrees): 5.3877 5.4364 8.2202 90.00 90.00 118.80
With the nearest neighbours (Å) after each atom.
Fractional coordinates of all 20 atoms:
Al 0.4680 0.7660 0.3445  4 O 1.75-1.79
O 0.1726 0.6051 0.8896  3 Al 1.75-1.88
Al 0.4680 0.2660 0.1555  4 O 1.75-1.79
O 0.7490 0.3262 0.4779  2 Al 1.79-1.81
O 0.2510 0.6738 0.5221  2 Al 1.79-1.81
O 0.6795 0.5964 0.7050  3 Al 1.75-1.84
O 0.8274 0.3949 0.1104  3 Al 1.75-1.88
O 0.2510 0.1738 0.9779  2 Al 1.79-1.81
O 0.3205 0.4036 0.2950  3 Al 1.75-1.84
Al 0.0525 0.7691 0.0424  5 O 1.81-2.00
Al 0.5320 0.2340 0.6555  4 O 1.75-1.79
O 0.8274 0.8949 0.3896  3 Al 1.75-1.88
O 0.6795 0.0964 0.7950  3 Al 1.75-1.84
O 0.7490 0.8262 0.0221  2 Al 1.79-1.81
Al 0.9475 0.7309 0.5424  5 O 1.81-2.00
O 0.3205 0.9036 0.2050  3 Al 1.75-1.84
Al 0.0525 0.2691 0.4576  5 O 1.81-2.00
O 0.1726 0.1051 0.6104  3 Al 1.75-1.88
Al 0.9475 0.2309 0.9576  5 O 1.81-2.00
Al 0.5320 0.7340 0.8445  4 O 1.75-1.79

Crystal system: monoclinic
Formation energy from raw total energies: -3253.6 meV per atom
Calculated density: 3.210 Mg/m³
DFT total energy: -201.86 eV/cell
Space-group type: P2_1/c (14)

Entry 14:
KBa2Sr | meta-GGA SCAN | single point on PBEsol structure

Lattice parameters (Å, degrees): 4.6788 7.1316 7.1316 90.00 90.00 90.00
With the nearest neighbours (Å) after each atom.
Fractional coordinates of all 4 atoms:
Ba 0.0000 0.0000 0.5000  4 K 4.26, 4 Sr 4.26, 2 Ba 4.68
K 0.5000 0.5000 0.5000  8 Ba 4.26, 2 K 4.68
Ba 0.0000 0.5000 0.0000  4 K 4.26, 4 Sr 4.26, 2 Ba 4.68
Sr 0.5000 0.0000 0.0000  8 Ba 4.26, 2 Sr 4.68

Crystal system: tetragonal
Relative energy among the computed polymorphs: 37 meV per atom
Energy of formation: 0.091 eV per atom
Calculated density: 2.801 Mg/m³
DFT total energy: -109.34 eV/cell
Space-group type: P4/mmm (123)